1.
A relaxed structure of CsKTl4. Source: Alexandria, functional PBE.

For the total energy, the calculation gives -1.976 eV per atom.

The space group is F-43m (No. 216) and the conventional cell measures 9.670, 9.670 and 9.670 Å, with angles of 90.00, 90.00 and 90.00 degrees. The distinct sites, in fractional coordinates, are Cs at (0.000, 0.000, 0.000), K at (0.250, 0.250, 0.750) and Tl at (0.124, 0.124, 0.376).


2.
A relaxed structure of GaCo2NiSe. Source: Alexandria, functional PBE.

The uncorrected formation energy is 4.74 eV/f.u.

The space group is P4/mmm (No. 123) and the conventional cell measures 4.270, 4.270 and 5.029 Å, with angles of 90.00, 90.00 and 90.00 degrees. The distinct sites, in fractional coordinates, are Ga at (0.000, 0.000, 0.000), Co at (0.000, 0.500, 0.500), Ni at (0.500, 0.500, 0.000) and Se at (0.000, 0.000, 0.500).


3.
A relaxed structure of Y4Tm3S8. Source: Alexandria, functional PBE.

The uncorrected formation energy is -30.49 eV/f.u.

The space group is C2/m (No. 12) and the conventional cell measures 10.956, 10.961 and 7.744 Å, with angles of 90.00, 134.94 and 90.00 degrees. The distinct sites, in fractional coordinates, are Y at (0.000, 0.000, 0.000), Y at (0.000, 0.500, 0.500), Y at (0.250, 0.250, 0.000), Tm at (0.000, 0.500, 0.000), Tm at (0.250, 0.250, 0.500), S at (0.000, 0.248, 0.500), S at (0.000, 0.252, 0.000), S at (0.250, 0.000, 0.505) and S at (0.250, 0.000, 0.996).


4.
A relaxed structure of PuGaH. Source: Alexandria, functional PBE.

For the total energy, the calculation gives -6.901 eV per atom.

The space group is P-1 (No. 2) and the conventional cell measures 2.986, 5.439 and 5.696 Å, with angles of 112.52, 101.66 and 92.18 degrees. The distinct sites, in fractional coordinates, are Pu at (0.125, 0.462, 0.186), Ga at (0.377, 0.000, 0.731) and H at (0.259, 0.386, 0.528).


5.
A relaxed structure of Re2AgSe. Source: Alexandria, functional PBE.

The uncorrected formation energy is 3.28 eV/f.u.

The space group is C2/m (No. 12) and the conventional cell measures 8.799, 2.911 and 5.077 Å, with angles of 90.00, 99.61 and 90.00 degrees. The distinct sites, in fractional coordinates, are Re at (0.247, 0.000, 0.232), Ag at (0.000, 0.000, 0.500) and Se at (0.000, 0.500, 0.000).


6.
A relaxed structure of Fe4PtRh2. Source: Alexandria, functional PBE.

For the total energy, the calculation gives -7.191 eV per atom.

The space group is I4_1/amd (No. 141, origin choice 2) and the conventional cell measures 5.804, 5.804 and 12.795 Å, with angles of 90.00, 90.00 and 90.00 degrees. The distinct sites, in fractional coordinates, are Fe at (0.000, 0.059, 0.189), Pt at (0.000, 0.250, 0.375) and Rh at (0.000, 0.000, 0.000).


7.
A relaxed structure of PmSm3Ru. Source: Alexandria, functional PBE.

For the total energy, the calculation gives -5.742 eV per atom.

The space group is Ima2 (No. 46) and the conventional cell measures 9.329, 7.461 and 8.970 Å, with angles of 90.00, 90.00 and 90.00 degrees. The distinct sites, in fractional coordinates, are Pm at (0.250, 0.021, 0.000), Sm at (0.041, 0.750, 0.250), Sm at (0.250, 0.023, 0.501) and Ru at (0.250, 0.249, 0.250).


8.
A relaxed structure of CdCo2CuN. Source: Alexandria, functional PBE.

The uncorrected formation energy is 0.53 eV/f.u.

The space group is P4/mmm (No. 123) and the conventional cell measures 3.786, 3.786 and 4.076 Å, with angles of 90.00, 90.00 and 90.00 degrees. The distinct sites, in fractional coordinates, are Cd at (0.000, 0.000, 0.000), Co at (0.000, 0.500, 0.500), Cu at (0.500, 0.500, 0.000) and N at (0.500, 0.500, 0.500).


9.
A relaxed structure of CaGaSbF2. Source: Alexandria, functional PBE.

The uncorrected formation energy is -5.82 eV/f.u.

The space group is P4/mmm (No. 123) and the conventional cell measures 4.184, 4.184 and 8.339 Å, with angles of 90.00, 90.00 and 90.00 degrees. The distinct sites, in fractional coordinates, are Ca at (0.000, 0.000, 0.000), Ga at (0.000, 0.000, 0.500), Sb at (0.500, 0.500, 0.000) and F at (0.000, 0.500, 0.500).


10.
A relaxed structure of CaAc5Bi6. Source: Alexandria, functional PBE.

For the total energy, the calculation gives -4.749 eV per atom.

The space group is C2/m (No. 12) and the conventional cell measures 8.393, 14.551 and 8.414 Å, with angles of 90.00, 109.49 and 90.00 degrees. The distinct sites, in fractional coordinates, are Ca at (0.000, 0.000, 0.000), Ac at (0.000, 0.168, 0.500), Ac at (0.000, 0.334, 0.000), Ac at (0.000, 0.500, 0.500), Bi at (0.246, 0.000, 0.751) and Bi at (0.246, 0.165, 0.246).


11.
A relaxed structure of BeZn2Mo. Source: Alexandria, functional PBE.

For the total energy, the calculation gives -4.016 eV per atom.

The space group is C2 (No. 5) and the conventional cell measures 5.329, 5.330 and 4.603 Å, with angles of 90.00, 124.96 and 90.00 degrees. The distinct sites, in fractional coordinates, are Be at (0.000, 0.000, 0.000), Zn at (0.000, 0.501, 0.000), Zn at (0.000, 0.751, 0.500) and Mo at (0.000, 0.250, 0.500).


12.
A relaxed structure of VSI3. Source: Alexandria, functional PBE.

The uncorrected formation energy is -1.94 eV/f.u.

The space group is C2/c (No. 15) and the conventional cell measures 7.468, 14.299 and 13.394 Å, with angles of 90.00, 97.37 and 90.00 degrees. The distinct sites, in fractional coordinates, are V at (0.069, 0.057, 0.152), S at (0.123, 0.170, 0.291), I at (0.137, 0.101, 0.533), I at (0.150, 0.359, 0.909) and I at (0.242, 0.051, 0.802).


13.
A relaxed structure of LiCePd2. Source: Alexandria, functional PBE.

For the total energy, the calculation gives -5.081 eV per atom.

The space group is P4/mmm (No. 123) and the conventional cell measures 4.594, 4.594 and 3.598 Å, with angles of 90.00, 90.00 and 90.00 degrees. The distinct sites, in fractional coordinates, are Li at (0.000, 0.000, 0.000), Ce at (0.500, 0.500, 0.000) and Pd at (0.000, 0.500, 0.500).


14.
A relaxed structure of TbYGa2Rh2. Source: Alexandria, functional PBE.

For the total energy, the calculation gives -6.130 eV per atom.

The space group is P-3m1 (No. 164) and the conventional cell measures 4.3956, 4.3956 and 7.0976 Å, with angles of 90.00, 90.00 and 120.00 degrees. The distinct sites, in fractional coordinates, are Tb at (0.0000, 0.0000, 0.0000), Y at (0.0000, 0.0000, 0.5000), Ga at (0.3333, 0.6667, 0.2513) and Rh at (0.3333, 0.6667, 0.7525).


15.
A relaxed structure of Pm2CuNi3Sb4. Source: Alexandria, functional PBE.

The uncorrected formation energy is -5.89 eV/f.u.

The space group is P-4m2 (No. 115) and the conventional cell measures 4.471, 4.471 and 10.143 Å, with angles of 90.00, 90.00 and 90.00 degrees. The distinct sites, in fractional coordinates, are Pm at (0.000, 0.500, 0.242), Cu at (0.500, 0.500, 0.000), Ni at (0.000, 0.000, 0.000), Ni at (0.000, 0.500, 0.623), Sb at (0.000, 0.000, 0.500), Sb at (0.000, 0.500, 0.869) and Sb at (0.500, 0.500, 0.500).


16.
A relaxed structure of CaZn5. Source: Alexandria, functional PBE.

For the total energy, the calculation gives -1.441 eV per atom.

The space group is Cm (No. 8) and the conventional cell measures 12.674, 3.367 and 5.820 Å, with angles of 90.00, 113.66 and 90.00 degrees. The distinct sites, in fractional coordinates, are Ca at (0.000, 0.000, 0.000), Zn at (0.071, 0.000, 0.560), Zn at (0.200, 0.500, 0.390), Zn at (0.213, 0.500, 0.969), Zn at (0.294, 0.000, 0.747) and Zn at (0.388, 0.000, 0.394).


17.
A relaxed structure of Ag3SbPd12. Source: Alexandria, functional PBE.

The uncorrected formation energy is -1.68 eV/f.u.

The space group is P4/mmm (No. 123) and the conventional cell measures 4.025, 4.025 and 15.923 Å, with angles of 90.00, 90.00 and 90.00 degrees. The distinct sites, in fractional coordinates, are Ag at (0.000, 0.000, 0.000), Ag at (0.000, 0.000, 0.249), Sb at (0.000, 0.000, 0.500), Pd at (0.000, 0.500, 0.124), Pd at (0.000, 0.500, 0.375), Pd at (0.500, 0.500, 0.000), Pd at (0.500, 0.500, 0.249) and Pd at (0.500, 0.500, 0.500).


18.
A relaxed structure of Ga6HgBr12. Source: Alexandria, functional PBE.

The uncorrected formation energy is -11.08 eV/f.u.

The space group is R-3 (No. 148, hexagonal axes) and the conventional cell measures 20.0824, 20.0824 and 7.2969 Å, with angles of 90.00, 90.00 and 120.00 degrees. The distinct sites, in fractional coordinates, are Ga at (0.0622, 0.5314, 0.3033), Hg at (0.0000, 0.0000, 0.5000), Br at (0.0005, 0.2120, 0.4994) and Br at (0.0859, 0.5424, 0.6525).


19.
A relaxed structure of CaAcPdAu. Source: Alexandria, functional PBE.

For the total energy, the calculation gives -4.384 eV per atom.

The space group is F-43m (No. 216) and the conventional cell measures 7.493, 7.493 and 7.493 Å, with angles of 90.00, 90.00 and 90.00 degrees. The distinct sites, in fractional coordinates, are Ca at (0.000, 0.000, 0.000), Ac at (0.000, 0.000, 0.500), Pd at (0.250, 0.250, 0.250) and Au at (0.250, 0.250, 0.750).


20.
A relaxed structure of CsNpTlI6. Source: Alexandria, functional PBE.

The uncorrected formation energy is -8.54 eV/f.u.

The space group is P-31c (No. 163) and the conventional cell measures 8.6623, 8.6623 and 15.7972 Å, with angles of 90.00, 90.00 and 120.00 degrees. The distinct sites, in fractional coordinates, are Cs at (0.0000, 0.0000, 0.0000), Np at (0.3333, 0.6667, 0.2500), Tl at (0.3333, 0.6667, 0.7500) and I at (0.0422, 0.3927, 0.1390).